*one*
Computed, not measured: ErAgPd after structural relaxation at the PBE level of DFT.

Unit cell a=3.330 b=4.642 c=4.642 alpha=120.00 beta=90.00 gamma=90.00
Fractional positions:
Ag (0.164, 0.000, 0.000)
Er (0.666, 0.667, 0.333)
Pd (0.170, 0.333, 0.667)

The calculation puts the density of states at the Fermi level at 0.749 states/eV/atom. As for the space-group type: P3m1, No. 156. The density is 10.194 g/cm3. The total magnetic moment is 0.000 Bohr magnetons per cell.


*two*
Computed, not measured: ErAgPd after structural relaxation at the PBE level of DFT.

Unit cell a=3.639 b=3.639 c=5.234 alpha=110.35 beta=110.35 gamma=90.00
Fractional positions:
Pd (0.288, 0.288, 0.576)
Ag (0.619, 0.619, 0.239)
Er (0.943, 0.943, 0.885)

The calculation puts the density of states at the Fermi level at 0.669 states/eV/atom. As for the space-group type: I4mm, No. 107. The density is 10.497 g/cm3. The total magnetic moment is 0.000 Bohr magnetons per cell.


*three*
Computed, not measured: ErAgPd after structural relaxation at the PBE level of DFT.

Unit cell a=3.647 b=4.552 c=7.442 alpha=90.00 beta=104.18 gamma=90.00
Fractional positions:
Ag (0.236, 0.750, 0.471)
Ag (0.764, 0.250, 0.529)
Pd (0.571, 0.750, 0.142)
Pd (0.429, 0.250, 0.858)
Er (0.909, 0.750, 0.818)
Er (0.091, 0.250, 0.182)

The calculation puts the density of states at the Fermi level at 0.534 states/eV/atom. As for the space-group type: Cmcm, No. 63. The density is 10.581 g/cm3. The total magnetic moment is 0.000 Bohr magnetons per cell.


*four*
Computed, not measured: ErAgPd after structural relaxation at the PBE level of DFT.

Unit cell a=4.617 b=4.617 c=4.617 alpha=60.00 beta=60.00 gamma=60.00
Fractional positions:
Pd (0.250, 0.250, 0.250)
Ag (0.500, 0.500, 0.500)
Er (0.000, 0.000, 0.000)

The calculation puts the density of states at the Fermi level at 0.360 states/eV/atom. As for the space-group type: F-43m, No. 216. The density is 9.102 g/cm3. The total magnetic moment is 0.000 Bohr magnetons per cell.


Unit: meV/atom. Relative energies: *one* 120; *two* 17; *three* 0; *four* 143.


*one*
Computed, not measured: ErAgPd4 after structural relaxation at the PBE level of DFT.

Unit cell a=4.031 b=6.519 c=5.009 alpha=104.99 beta=66.27 gamma=71.99
Fractional positions:
Pd (0.164, 0.167, 0.504)
Pd (0.836, 0.833, 0.496)
Pd (0.340, 0.325, 0.994)
Pd (0.660, 0.675, 0.006)
Er (0.500, 0.500, 0.500)
Ag (0.000, 0.000, 0.000)

The calculation puts the density of states at the Fermi level at 0.292 states/eV/atom. As for the space-group type: C2/m, No. 12. The density is 11.308 g/cm3. The total magnetic moment is 0.000 Bohr magnetons per cell.


*two*
Computed, not measured: ErAgPd4 after structural relaxation at the PBE level of DFT.

Unit cell a=5.327 b=5.327 c=5.327 alpha=60.00 beta=60.00 gamma=60.00
Fractional positions:
Pd (0.625, 0.625, 0.625)
Pd (0.625, 0.125, 0.625)
Pd (0.625, 0.625, 0.125)
Pd (0.125, 0.625, 0.625)
Ag (0.000, 0.000, 0.000)
Er (0.250, 0.250, 0.250)

The calculation puts the density of states at the Fermi level at 0.977 states/eV/atom. As for the space-group type: F-43m, No. 216. The density is 10.885 g/cm3. The total magnetic moment is 0.000 Bohr magnetons per cell.


Unit: meV/atom. Relative energies: *one* 0; *two* 7.